1.
Below is Be2As at its PBEsol-relaxed geometry, with properties calculated at the SCAN level.

Structure (POSCAR):
```
Be2As
1.0
2.666 0.000 0.000
0.000 2.666 0.000
-1.333 -1.333 5.175
Be As
2 1
Cartesian
0.000 0.000 1.983 Be
1.333 1.333 3.192 Be
1.333 1.333 0.000 As
```

2.
Below is BeAs at its PBEsol-relaxed geometry, with properties calculated at the SCAN level.

Structure (POSCAR):
```
BeAs
1.0
-0.264 2.133 3.230
-2.689 -2.664 -0.791
2.537 -3.262 2.362
Be As
2 2
Cartesian
-0.447 0.285 3.273 Be
0.032 -4.079 1.528 Be
-2.052 -2.907 0.589 As
1.637 -0.887 4.212 As
```

3.
Below is Be3As at its PBEsol-relaxed geometry, with properties calculated at the SCAN level.

Structure (POSCAR):
```
Be3As
1.0
3.399 0.000 0.000
0.000 3.399 0.000
0.000 0.000 3.850
Be As
3 1
Cartesian
1.699 0.000 1.631 Be
1.699 1.699 3.228 Be
0.000 1.699 1.631 Be
0.000 0.000 0.009 As
```

4.
Below is BeAs at its PBEsol-relaxed geometry, with properties calculated at the SCAN level.

Structure (POSCAR):
```
BeAs
1.0
-0.239 3.024 -2.092
-1.967 -2.995 -0.859
-3.527 1.556 2.652
Be As
2 2
Cartesian
0.000 0.000 0.000 Be
-1.764 0.778 1.326 Be
-3.460 2.185 0.308 As
-2.273 -0.600 -0.607 As
```

5.
Below is BeAs2 at its PBEsol-relaxed geometry, with properties calculated at the SCAN level.

Structure (POSCAR):
```
BeAs2
1.0
-2.335 1.372 -2.235
-0.699 -3.031 1.628
-4.400 5.195 7.786
Be As
2 4
Cartesian
-3.300 3.897 5.839 Be
-1.100 1.299 1.946 Be
-4.038 1.735 5.283 As
-2.383 0.605 0.103 As
-3.396 1.801 1.896 As
-5.051 2.931 7.076 As
```

6.
Below is BeAs3 at its PBEsol-relaxed geometry, with properties calculated at the SCAN level.

Structure (POSCAR):
```
BeAs3
1.0
3.388 0.000 0.000
0.000 7.072 -0.008
0.000 -3.293 6.259
Be As
2 6
Cartesian
0.847 1.201 3.542 Be
2.541 2.578 2.710 Be
2.541 6.173 0.536 As
0.847 -2.394 5.715 As
2.541 4.622 3.630 As
0.847 -0.843 2.621 As
2.541 2.713 0.471 As
0.847 1.066 5.780 As
```

7.
Below is BeAs at its PBEsol-relaxed geometry, with properties calculated at the SCAN level.

Structure (POSCAR):
```
BeAs
1.0
-1.333 -2.131 2.039
0.338 -2.548 -2.443
4.310 -1.064 1.706
Be As
2 2
Cartesian
-0.391 -3.141 -0.971 Be
2.218 -1.004 0.400 Be
0.106 -0.798 -0.765 As
1.721 -3.347 0.195 As
```

8.
Below is BeAs at its PBEsol-relaxed geometry, with properties calculated at the SCAN level.

Structure (POSCAR):
```
BeAs
1.0
-0.634 3.278 0.190
-0.831 -1.669 -3.418
-4.130 -0.991 3.321
Be As
2 2
Cartesian
-3.658 1.029 -0.527 Be
-1.937 -0.410 0.619 Be
-3.784 0.875 1.700 As
-1.811 -0.257 -1.608 As
```

9.
Below is BeAs7 at its PBEsol-relaxed geometry, with properties calculated at the SCAN level.

Structure (POSCAR):
```
BeAs7
1.0
-4.321 3.154 2.352
-4.380 1.918 -3.359
-5.337 -2.313 0.556
Be As
1 7
Cartesian
0.000 0.000 0.000 Be
-2.669 -1.157 0.278 As
-2.190 0.959 -1.679 As
-2.160 1.577 1.176 As
-4.351 2.536 -0.503 As
-4.829 0.420 1.454 As
-4.859 -0.198 -1.401 As
-7.019 1.379 -0.225 As
```

10.
Below is Be2As at its PBEsol-relaxed geometry, with properties calculated at the SCAN level.

Structure (POSCAR):
```
Be2As
1.0
-2.746 -1.296 -1.230
0.753 -2.884 1.358
-0.650 2.960 2.696
Be As
2 1
Cartesian
-1.519 -1.814 0.940 Be
-1.124 0.594 1.884 Be
0.000 0.000 0.000 As
```

11.
Below is BeAs at its PBEsol-relaxed geometry, with properties calculated at the SCAN level.

Structure (POSCAR):
```
BeAs
1.0
-2.304 1.265 -0.176
-1.255 -2.175 0.795
0.738 2.426 7.796
Be As
2 2
Cartesian
-0.721 2.048 4.461 Be
-0.320 -0.077 3.644 Be
-1.018 1.073 1.330 As
-0.024 0.897 6.776 As
```

12.
Below is BeBi2As at its PBEsol-relaxed geometry, with properties calculated at the SCAN level.

Structure (POSCAR):
```
BeBi2As
1.0
5.022 0.000 0.000
2.511 4.349 0.000
2.511 1.450 4.100
Be As Bi
1 1 2
Cartesian
0.000 0.000 0.000 Be
5.022 2.899 2.050 As
2.511 1.450 1.025 Bi
7.533 4.349 3.075 Bi
```

| no. | ΔE_f (eV/atom) | magnetic moment (μB/cell) | E (eV/atom) |
| --- | --- | --- | --- |
| 1 | 0.49 | 0.000 | -9.14 |
| 2 | -0.07 | 0.000 | -12.34 |
| 3 | 0.40 | 0.000 | -7.91 |
| 4 | 0.05 | 0.000 | -12.22 |
| 5 | 0.08 | 0.000 | -14.83 |
| 6 | 0.33 | 0.000 | -15.90 |
| 7 | 0.20 | 0.000 | -12.07 |
| 8 | 0.04 | 0.000 | -12.24 |
| 9 | 0.60 | 0.000 | -17.61 |
| 10 | 0.43 | 0.001 | -9.20 |
| 11 | 0.42 | 0.000 | -11.86 |
| 12 | 0.66 | 0.000 | -44.76 |